# 1
# Tl2PdW

Tl2PdW after structural relaxation (PBE-GGA, Alexandria).

Lattice parameters (Å, degrees): 4.808 4.808 4.808 60.00 60.00 60.00
Atoms (fractional coordinates):
Tl 0.250 0.250 0.250
Tl 0.750 0.750 0.750
Pd 0.000 0.000 0.000
W 0.500 0.500 0.500

Results
M_tot	1.56	μB/cell
energy above the most stable polymorph in this dataset	0.00	eV per formula unit
raw total energy	-4.90	eV/atom
crystal system	cubic
calculated formation energy	0.824	eV/atom

***

# 2
# TlPdW3

TlPdW3 after structural relaxation (PBE-GGA, Alexandria).

Lattice parameters (Å, degrees): 4.776 4.776 4.776 90.00 90.00 90.00
Atoms (fractional coordinates):
Tl 0.000 0.000 0.000
Pd 0.500 0.500 0.500
W 0.000 0.500 0.500
W 0.500 0.000 0.500
W 0.500 0.500 0.000

Results
M_tot	0.00	μB/cell
energy above the most stable polymorph in this dataset	0.00	eV per formula unit
raw total energy	-7.04	eV/atom
crystal system	cubic
calculated formation energy	2.240	eV/atom

***

# 3
# TlPdW2

TlPdW2 after structural relaxation (PBE-GGA, Alexandria).

Lattice parameters (Å, degrees): 10.642 10.642 10.642 159.36 159.36 29.35
Atoms (fractional coordinates):
Tl 0.000 0.000 0.000
Tl 0.750 0.250 0.500
Pd 0.250 0.750 0.500
Pd 0.500 0.500 0.000
W 0.127 0.625 0.002
W 0.375 0.377 0.502
W 0.623 0.125 0.998
W 0.875 0.873 0.498

Results
M_tot	0.00	μB/cell
energy above the most stable polymorph in this dataset	0.00	eV per formula unit
raw total energy	-7.47	eV/atom
crystal system	tetragonal
calculated formation energy	0.900	eV/atom